Record 1
An optimized crystal structure of CsHfS3, computed with PBE.

a b c (Å): 5.0665 5.0665 5.0665
angles (deg): 90.00 90.00 90.00
With the nearest neighbours (Å) after each atom.
Atoms (fractional coordinates):
Cs 0.0000 0.0000 0.0000  12 S 3.58
Hf 0.5000 0.5000 0.5000  6 S 2.53
S 0.0000 0.5000 0.5000  2 Hf 2.53
S 0.5000 0.0000 0.5000  2 Hf 2.53
S 0.5000 0.5000 0.0000  2 Hf 2.53

ΔE_f (raw) = -1.21 eV per atom
D(E_F) = 0.63 states/eV/atom
energy above the most stable polymorph in this dataset = 18.4 kJ/mol of atoms
total energy = -5.84 eV/atom
symmetry = Pm-3m (221)

=====

Record 2
An optimized crystal structure of YBeHg2, computed with PBE.

a b c (Å): 4.1154 5.9764 5.9764
angles (deg): 35.90 90.00 90.00
With the nearest neighbours (Å) after each atom.
Atoms (fractional coordinates):
Y 0.0000 0.0000 0.0000  4 Be 2.99, 7 Hg 3.12-3.23
Be 0.5000 0.6004 0.6004  2 Hg 2.47
Hg 0.0000 0.7213 0.7213  2 Be 2.47
Hg 0.5000 0.3534 0.3534  1 Be 2.81, 4 Hg 3.14

formation energy from the elements = -0.02 eV/atom
D(E_F) = 0.38 states/eV/atom
total energy = -2.72 eV/atom
symmetry = Amm2 (38)

=====

Record 3
An optimized crystal structure of NdY3, computed with PBE.

a b c (Å): 6.2259 6.2259 6.2259
angles (deg): 131.68 131.68 70.74
With the nearest neighbours (Å) after each atom.
Atoms (fractional coordinates):
Nd 0.0000 0.0000 0.0000  12 Y 3.60
Y 0.2500 0.7500 0.5000  8 Y 3.60, 4 Nd 3.60
Y 0.5000 0.5000 0.0000  8 Y 3.60, 4 Nd 3.60
Y 0.7500 0.2500 0.5000  8 Y 3.60, 4 Nd 3.60

formation energy from the elements = 0.02 eV/atom
D(E_F) = 1.52 states/eV/atom
energy above the most stable polymorph in this dataset = 1.1 kJ/mol of atoms
total energy = -6.02 eV/atom
symmetry = I4/mmm (139)

=====

Record 4
An optimized crystal structure of KFeNi, computed with PBE.

a b c (Å): 4.8813 4.8813 2.6850
angles (deg): 90.00 90.00 120.00
With the nearest neighbours (Å) after each atom.
Atoms (fractional coordinates):
K 0.0000 0.0000 0.0000  2 K 2.68
Fe 0.3333 0.6667 0.5891  2 Fe 2.68, 3 Ni 2.86
Ni 0.6667 0.3333 0.4007  2 Ni 2.68, 3 Fe 2.86

formation energy from the elements = 1.17 eV/atom
D(E_F) = 1.56 states/eV/atom
energy above the most stable polymorph in this dataset = 49.9 kJ/mol of atoms
total energy = -3.95 eV/atom
symmetry = P3m1 (156)

=====

Copy entry 3 word for word.
An optimized crystal structure of NdY3, computed with PBE.

a b c (Å): 6.2259 6.2259 6.2259
angles (deg): 131.68 131.68 70.74
With the nearest neighbours (Å) after each atom.
Atoms (fractional coordinates):
Nd 0.0000 0.0000 0.0000  12 Y 3.60
Y 0.2500 0.7500 0.5000  8 Y 3.60, 4 Nd 3.60
Y 0.5000 0.5000 0.0000  8 Y 3.60, 4 Nd 3.60
Y 0.7500 0.2500 0.5000  8 Y 3.60, 4 Nd 3.60

formation energy from the elements = 0.02 eV/atom
D(E_F) = 1.52 states/eV/atom
energy above the most stable polymorph in this dataset = 1.1 kJ/mol of atoms
total energy = -6.02 eV/atom
symmetry = I4/mmm (139)

=====

What is the D(E_F) in the fourth record?
1.56 states/eV/atom